(A)
PmTmS | GGA-PBE | optimized geometry

Structure (POSCAR):
```
PmTmS
1.0
-5.3612 -3.1518 1.5413
-0.0522 -1.5955 -3.4441
1.8257 -1.7089 2.8560
Tm S Pm
1 1 1
direct
0.0752 0.0000 0.0000
0.3229 0.3333 0.6667
0.6019 0.6667 0.3333
```

**Density of states at the Fermi level**: 0.45 states/eV/atom
**Space-group type**: No. 156
**Mass density**: 7.19 Mg/m³

(B)
PmTmS | GGA-PBE | optimized geometry

Structure (POSCAR):
```
PmTmS
1.0
3.7913 0.0000 0.0000
0.0000 5.3991 0.0000
0.0000 0.0000 7.7471
S Tm Pm
2 2 2
direct
0.5000 0.0000 0.6114
0.0000 0.5000 0.3886
0.5000 0.5000 0.6300
0.0000 0.0000 0.3700
0.0000 0.0000 0.8853
0.5000 0.5000 0.1147
```

**Density of states at the Fermi level**: 0.72 states/eV/atom
**Space-group type**: No. 59
**Mass density**: 7.25 Mg/m³

Which structure wins on stability? (B) wins.

(A)
Pm3TmS4 | GGA-PBE | optimized geometry

Structure (POSCAR):
```
Pm3TmS4
1.0
6.8981 0.0604 0.0000
-2.3612 6.5441 0.0000
0.0000 0.0000 7.9191
Pm S Tm
6 8 2
direct
0.7500 0.5000 0.6224
0.7500 0.5000 0.1266
0.2500 0.5000 0.3776
0.2500 0.0000 0.6234
0.2500 0.5000 0.8734
0.7500 0.0000 0.3766
0.9931 0.2432 0.6322
0.5069 0.7568 0.6322
0.4931 0.2432 0.3678
0.9995 0.7626 0.8814
0.0005 0.2374 0.1186
0.4995 0.7626 0.1186
0.5005 0.2374 0.8814
0.0069 0.7568 0.3678
0.2500 0.0000 0.1266
0.7500 0.0000 0.8734
```

**Density of states at the Fermi level**: 0.45 states/eV/atom
**Space-group type**: No. 13
**Mass density**: 6.78 Mg/m³

(B)
Pm3TmS4 | GGA-PBE | optimized geometry

Structure (POSCAR):
```
Pm3TmS4
1.0
5.6440 0.0000 0.0000
0.0000 5.6440 0.0000
0.0000 0.0000 5.6440
Pm S Tm
3 4 1
direct
0.0000 0.5000 0.5000
0.5000 0.5000 0.0000
0.5000 0.0000 0.5000
0.0000 0.5000 0.0000
0.0000 0.0000 0.5000
0.5000 0.0000 0.0000
0.5000 0.5000 0.5000
0.0000 0.0000 0.0000
```

**Density of states at the Fermi level**: 0.55 states/eV/atom
**Space-group type**: No. 221
**Mass density**: 6.76 Mg/m³

Which structure wins on stability? (A) wins.

(A)
PmTm3S6 | GGA-PBE | optimized geometry

Structure (POSCAR):
```
PmTm3S6
1.0
4.1578 0.0000 0.0000
0.0000 8.2101 -0.1202
0.0000 -2.6960 7.7558
S Tm Pm
6 3 1
direct
0.0000 0.9218 0.6702
0.5000 0.6471 0.3529
0.0000 0.6702 0.9218
0.5000 0.3529 0.6471
0.0000 0.3298 0.0782
0.0000 0.0782 0.3298
0.5000 0.0000 0.5000
0.0000 0.0000 0.0000
0.5000 0.5000 0.0000
0.0000 0.5000 0.5000
```

**Density of states at the Fermi level**: 0.13 states/eV/atom
**Space-group type**: No. 65
**Mass density**: 5.32 Mg/m³

(B)
PmTm3S6 | GGA-PBE | optimized geometry

Structure (POSCAR):
```
PmTm3S6
1.0
-3.4172 1.7834 0.8179
-2.3119 -7.8056 7.3603
5.5615 8.2999 5.1378
S Tm Pm
12 6 2
direct
0.2500 0.6049 0.9405
0.7500 0.7365 0.2726
0.2500 0.2635 0.7274
0.7500 0.4775 0.6118
0.2500 0.5225 0.3882
0.7500 0.1174 0.4636
0.2500 0.8826 0.5364
0.7500 0.3951 0.0595
0.7500 0.9181 0.0940
0.2500 0.0819 0.9060
0.7500 0.8035 0.7510
0.2500 0.1965 0.2490
0.7500 0.1609 0.0864
0.7500 0.6807 0.5016
0.2500 0.8391 0.9136
0.2500 0.5603 0.1673
0.2500 0.3193 0.4984
0.7500 0.4397 0.8327
0.2500 0.9518 0.3054
0.7500 0.0482 0.6946
```

**Space-group type**: No. 11
**Mass density**: 6.10 Mg/m³

Which structure wins on stability? (B) wins.

(A)
PmUS3 | GGA-PBE | optimized geometry

Structure (POSCAR):
```
PmUS3
1.0
3.9358 0.0000 0.0000
0.0000 7.4213 0.0000
0.0000 0.0000 15.3587
U S Pm
4 12 4
direct
0.2500 0.7628 0.5388
0.2500 0.2628 0.9612
0.7500 0.7372 0.0388
0.7500 0.2372 0.4612
0.2500 0.5100 0.1014
0.7500 0.6241 0.4320
0.2500 0.8759 0.9320
0.2500 0.0100 0.3986
0.7500 0.8335 0.2173
0.7500 0.9900 0.6014
0.7500 0.4900 0.8986
0.2500 0.3759 0.5680
0.7500 0.3335 0.2827
0.2500 0.1665 0.7827
0.2500 0.6665 0.7173
0.7500 0.1241 0.0680
0.2500 0.1137 0.2065
0.7500 0.3863 0.7065
0.7500 0.8863 0.7935
0.2500 0.6137 0.2935
```

**Density of states at the Fermi level**: 1.15 states/eV/atom
**Space-group type**: No. 62
**Mass density**: 7.10 Mg/m³

(B)
PmUS3 | GGA-PBE | optimized geometry

Structure (POSCAR):
```
PmUS3
1.0
-2.8840 2.1418 3.7184
3.9476 -2.4421 4.4684
2.5765 7.9461 -2.5787
U S Pm
2 6 2
direct
0.5000 0.1186 0.2371
0.5000 0.8814 0.7629
0.5000 0.5000 0.5000
0.0000 0.1469 0.2937
0.5000 0.7314 0.0000
0.5000 0.0000 0.5000
0.5000 0.2686 0.0000
0.0000 0.8531 0.7063
0.0000 0.6855 0.3710
0.0000 0.3145 0.6290
```

**Density of states at the Fermi level**: 1.10 states/eV/atom
**Space-group type**: No. 65
**Mass density**: 5.88 Mg/m³

Which structure wins on stability? (A) wins.

(A)
PmUS4 | GGA-PBE | optimized geometry

Structure (POSCAR):
```
PmUS4
1.0
-2.8039 3.4399 -1.1956
-2.0729 -0.2669 4.0934
4.3208 4.3365 2.4421
Pm S U
1 4 1
direct
0.0000 0.0000 0.0000
0.4987 0.0001 0.7354
0.5013 0.9999 0.2646
0.0001 0.4987 0.7354
0.9999 0.5013 0.2646
0.5000 0.5000 0.5000
```

**Density of states at the Fermi level**: 1.02 states/eV/atom
**Space-group type**: No. 12
**Mass density**: 6.10 Mg/m³

(B)
PmUS4 | GGA-PBE | optimized geometry

Structure (POSCAR):
```
PmUS4
1.0
-4.9108 3.1068 -2.7677
-4.7738 -4.8834 2.9885
1.2047 5.8208 4.3964
U Pm S
2 2 8
direct
0.5000 0.5000 0.0000
0.0000 0.0000 0.0000
0.0000 0.5000 0.5000
0.5000 0.0000 0.5000
0.3255 0.8457 0.1191
0.8573 0.1164 0.3503
0.6427 0.6164 0.3503
0.6745 0.1543 0.8809
0.8255 0.6543 0.8809
0.3573 0.3836 0.6497
0.1745 0.3457 0.1191
0.1427 0.8836 0.6497
```

**Density of states at the Fermi level**: 0.59 states/eV/atom
**Space-group type**: No. 14
**Mass density**: 5.18 Mg/m³

Which structure wins on stability? (A) wins.

(A)
Pm2US6 | GGA-PBE | optimized geometry

Structure (POSCAR):
```
Pm2US6
1.0
-3.9618 -3.4918 -3.6078
-1.4897 -3.5712 5.0923
-9.2670 7.7209 2.7036
S U Pm
12 2 4
direct
0.7867 0.2133 0.5000
0.6882 0.6882 0.3462
0.8118 0.1882 0.1538
0.1882 0.8118 0.1538
0.3118 0.3118 0.3462
0.2867 0.2867 0.0000
0.6882 0.6882 0.6538
0.3118 0.3118 0.6538
0.7133 0.7133 0.0000
0.8118 0.1882 0.8462
0.1882 0.8118 0.8462
0.2133 0.7867 0.5000
0.0000 0.0000 0.0000
0.5000 0.5000 0.5000
0.5000 0.5000 0.1656
0.5000 0.5000 0.8344
0.0000 0.0000 0.3344
0.0000 0.0000 0.6656
```

**Density of states at the Fermi level**: 0.04 states/eV/atom
**Space-group type**: No. 136
**Mass density**: 4.73 Mg/m³

(B)
Pm2US6 | GGA-PBE | optimized geometry

Structure (POSCAR):
```
Pm2US6
1.0
4.4923 -0.0002 -1.4519
-0.9783 5.8069 -3.0282
0.0701 0.3508 7.8898
S Pm U
6 2 1
direct
0.1567 0.4020 0.3135
0.8433 0.0885 0.6865
0.5000 0.2259 0.0000
0.5000 0.7741 0.0000
0.8433 0.5980 0.6865
0.1567 0.9115 0.3135
0.3340 0.3340 0.6679
0.6660 0.6660 0.3321
0.0000 0.0000 0.0000
```

**Density of states at the Fermi level**: 0.23 states/eV/atom
**Space-group type**: No. 71
**Mass density**: 5.65 Mg/m³

Which structure wins on stability? (B) wins.